This record from OQMD via LeMat-Bulk describes a geometry-optimized TcSO6F structure. The functional is PBE.

Cell: 6.649 7.828 8.658 Å, 90.00 97.58 90.00°
Fractional positions:
F1 0.295 0.160 0.005
F2 0.705 0.660 0.495
F3 0.295 0.340 0.505
F4 0.705 0.840 0.995
O1 0.368 0.619 0.029
O2 0.045 0.347 0.077
O3 0.039 0.865 0.129
O4 0.750 0.127 0.172
O5 0.828 0.620 0.174
O6 0.456 0.895 0.232
O7 0.544 0.395 0.268
O8 0.172 0.120 0.326
O9 0.250 0.627 0.328
O10 0.961 0.365 0.371
O11 0.955 0.847 0.423
O12 0.632 0.119 0.471
O13 0.368 0.881 0.529
O14 0.045 0.153 0.577
O15 0.039 0.635 0.629
O16 0.750 0.373 0.672
O17 0.828 0.880 0.674
O18 0.456 0.605 0.732
O19 0.544 0.105 0.768
O20 0.172 0.380 0.826
O21 0.250 0.873 0.828
O22 0.961 0.135 0.871
O23 0.955 0.653 0.923
O24 0.632 0.381 0.971
S1 0.897 0.735 0.061
S2 0.103 0.235 0.439
S3 0.897 0.765 0.561
S4 0.103 0.265 0.939
Tc1 0.731 0.343 0.160
Tc2 0.269 0.843 0.340
Tc3 0.731 0.157 0.660
Tc4 0.269 0.657 0.840

Values from the calculation:
The raw total energy comes out at -6.369 eV per atom.